Hf3MoRu: optimized geometry, PBE.

Summary:
The formation energy is 0.745 eV per atom. The total energy comes out at -9.249 eV/atom. The calculation puts the excess energy over the best structure of this formula in the dataset at 0 meV per atom. Its calculated density is 10.42 Mg/m³.

a b c (Å): 4.887 4.887 4.887
angles (deg): 90.00 90.00 90.00
Element x y z (fractional)
Ru (0.000, 0.000, 0.000)
Mo (0.500, 0.500, 0.500)
Hf (0.000, 0.500, 0.000)
Hf (0.000, 0.000, 0.500)
Hf (0.500, 0.000, 0.000)

Ba2AgSb4Pt3: optimized geometry, PBE.

Summary:
The formation energy from raw total energies comes out at -0.7482 eV/atom. The total energy comes out at -4.879 eV/atom. Its calculated density is 9.51 Mg/m³.

a b c (Å): 4.852 4.852 10.791
angles (deg): 90.00 90.00 90.00
Element x y z (fractional)
Ba (0.500, 0.000, 0.254)
Ba (0.000, 0.500, 0.746)
Ag (0.500, 0.500, 0.500)
Sb (0.500, 0.500, 0.000)
Sb (0.000, 0.000, 0.000)
Sb (0.500, 0.000, 0.632)
Sb (0.000, 0.500, 0.368)
Pt (0.000, 0.000, 0.500)
Pt (0.500, 0.000, 0.883)
Pt (0.000, 0.500, 0.117)

FeOsS: optimized geometry, PBE.

Summary:
The formation energy from raw total energies comes out at 0.4633 eV/atom. The total energy comes out at -7.477 eV/atom. Its calculated density is 11.64 Mg/m³.

a b c (Å): 3.149 3.149 9.244
angles (deg): 90.00 90.00 120.00
Element x y z (fractional)
Os (0.000, 0.000, 0.000)
Os (0.333, 0.667, 0.500)
S (0.000, 0.000, 0.316)
S (0.000, 0.000, 0.684)
Fe (0.333, 0.667, 0.791)
Fe (0.333, 0.667, 0.209)

KSiAu3: optimized geometry, PBE.

Summary:
The formation energy from raw total energies comes out at -0.1871 eV/atom. The total energy comes out at -3.458 eV/atom. Its calculated density is 10.04 Mg/m³.

a b c (Å): 5.280 6.550 7.093
angles (deg): 62.74 92.72 89.96
Element x y z (fractional)
K (0.344, 0.225, 0.276)
K (0.346, 0.499, 0.727)
Si (0.021, 0.738, 0.244)
Si (0.669, 0.986, 0.759)
Au (0.845, 0.362, 0.501)
Au (0.212, 0.970, 0.787)
Au (0.478, 0.754, 0.216)
Au (0.845, 0.863, 0.501)
Au (0.845, 0.144, 0.007)
Au (0.845, 0.580, 0.996)